1.
Compound: TlIr2Se
Source: Alexandria via LeMat-Bulk
Functional: GGA-PBE
Structure: relaxed

Space-group type ... Cmmm, No. 65
M_tot ... 0.00 μB per atom
ρ ... 15.58 g cm⁻³
Fermi-level density of states ... 2.79 states/eV/f.u.
Polymorph energy (0 for the lowest one) ... 445.6 meV per atom
Raw formation energy ... 706 meV/atom

Cell and atoms, written as POSCAR:
```
TlIr2Se
1.0
-0.8262 -2.8840 -0.2350
2.8940 0.7656 0.3059
-0.8304 -0.5056 9.1226
Ir Se Tl
2 1 1
direct
0.0000 0.0000 0.0124 Ir
0.0000 0.0000 0.4876 Ir
0.5000 0.5000 0.2500 Se
0.5000 0.5000 0.7500 Tl
```

2.
Compound: TlIr2Se
Source: Alexandria via LeMat-Bulk
Functional: GGA-PBE
Structure: relaxed

Space-group type ... I4/mmm, No. 139
M_tot ... 0.00 μB per atom
ρ ... 15.84 g cm⁻³
Fermi-level density of states ... 3.45 states/eV/f.u.
Polymorph energy (0 for the lowest one) ... 457.8 meV per atom
Raw formation energy ... 718 meV/atom

Cell and atoms, written as POSCAR:
```
TlIr2Se
1.0
4.8032 -0.0086 0.0000
0.8555 4.7264 0.0000
-2.8293 -2.3589 3.0824
Ir Se Tl
2 1 1
direct
0.0000 0.0000 0.0000 Ir
0.5000 0.5000 0.0000 Ir
0.2500 0.7500 0.5000 Se
0.7500 0.2500 0.5000 Tl
```

3.
Compound: Tl2IrSe2
Source: Alexandria via LeMat-Bulk
Functional: GGA-PBE
Structure: relaxed

Space-group type ... P4/mbm, No. 127
M_tot ... 0.00 μB per atom
ρ ... 10.10 g cm⁻³
Fermi-level density of states ... 3.79 states/eV/f.u.
Raw formation energy ... 19 meV/atom

Cell and atoms, written as POSCAR:
```
Tl2IrSe2
1.0
-1.4418 -3.7489 -5.1821
6.0703 0.8713 -2.3193
1.7832 -4.6977 2.9023
Tl Ir Se
4 2 4
direct
0.1822 0.6822 0.5000 Tl
0.6822 0.8178 0.5000 Tl
0.8178 0.3178 0.5000 Tl
0.3178 0.1822 0.5000 Tl
0.0000 0.0000 0.0000 Ir
0.5000 0.5000 0.0000 Ir
0.3476 0.8476 0.0000 Se
0.8476 0.6524 0.0000 Se
0.6524 0.1524 0.0000 Se
0.1524 0.3476 0.0000 Se
```

4.
Compound: TlIr4Se
Source: Alexandria via LeMat-Bulk
Functional: GGA-PBE
Structure: relaxed

Space-group type ... F-43m, No. 216
M_tot ... 0.00 μB per atom
ρ ... 16.46 g cm⁻³
Fermi-level density of states ... 12.31 states/eV/f.u.
Raw formation energy ... 815 meV/atom

Cell and atoms, written as POSCAR:
```
TlIr4Se
1.0
0.0555 -4.6452 -2.5826
-1.6974 -4.4120 2.4298
-4.5705 -2.2654 -1.4930
Tl Ir Se
1 4 1
direct
0.0000 0.0000 0.0000 Tl
0.3752 0.8743 0.3752 Ir
0.8743 0.3752 0.3752 Ir
0.3752 0.3752 0.8743 Ir
0.3752 0.3752 0.3752 Ir
0.7500 0.7500 0.7500 Se
```

5.
Compound: TlIr2Se
Source: Alexandria via LeMat-Bulk
Functional: GGA-PBE
Structure: relaxed

Space-group type ... Imm2, No. 44
M_tot ... 0.00 μB per atom
ρ ... 15.38 g cm⁻³
Fermi-level density of states ... 2.97 states/eV/f.u.
Polymorph energy (0 for the lowest one) ... 284.2 meV per atom
Raw formation energy ... 545 meV/atom

Cell and atoms, written as POSCAR:
```
TlIr2Se
1.0
5.8274 0.0308 -0.0199
3.1588 4.8971 0.0199
-3.9411 -3.4706 2.5264
Ir Se Tl
2 1 1
direct
0.9714 0.9714 0.0000 Ir
0.7358 0.2358 0.5000 Ir
0.5343 0.5343 0.0000 Se
0.2585 0.7585 0.5000 Tl
```

6.
Compound: Tl3IrSe
Source: Alexandria via LeMat-Bulk
Functional: GGA-PBE
Structure: relaxed

Space-group type ... Pm-3m, No. 221
M_tot ... 0.00 μB per atom
ρ ... 10.00 g cm⁻³
Fermi-level density of states ... 2.23 states/eV/f.u.
Polymorph energy (0 for the lowest one) ... 0.0 meV per atom
Raw formation energy ... 93 meV/atom

Cell and atoms, written as POSCAR:
```
Tl3IrSe
1.0
-0.5905 5.0655 1.3542
-2.3215 0.9693 -4.6382
-4.7015 -1.1149 2.1201
Tl Ir Se
3 1 1
direct
0.0000 0.5000 0.0000 Tl
0.0000 0.0000 0.5000 Tl
0.5000 0.0000 0.0000 Tl
0.0000 0.0000 0.0000 Ir
0.5000 0.5000 0.5000 Se
```

7.
Compound: TlIr2Se
Source: Alexandria via LeMat-Bulk
Functional: GGA-PBE
Structure: relaxed

Space-group type ... P4/mmm, No. 123
M_tot ... 0.00 μB per atom
ρ ... 15.99 g cm⁻³
Fermi-level density of states ... 2.20 states/eV/f.u.
Polymorph energy (0 for the lowest one) ... 287.0 meV per atom
Raw formation energy ... 548 meV/atom

Cell and atoms, written as POSCAR:
```
TlIr2Se
1.0
-2.8426 -0.8396 0.7944
1.1163 -1.4461 2.4660
-0.7209 6.1761 3.9480
Ir Se Tl
2 1 1
direct
0.0000 0.0000 0.0293 Ir
0.0000 0.0000 0.4707 Ir
0.5000 0.5000 0.2500 Se
0.5000 0.5000 0.7500 Tl
```

8.
Compound: TlIr2Se
Source: Alexandria via LeMat-Bulk
Functional: GGA-PBE
Structure: relaxed

Space-group type ... Pmmm, No. 47
M_tot ... 0.00 μB per atom
ρ ... 15.50 g cm⁻³
Fermi-level density of states ... 2.17 states/eV/f.u.
Polymorph energy (0 for the lowest one) ... 392.5 meV per atom
Raw formation energy ... 653 meV/atom

Cell and atoms, written as POSCAR:
```
TlIr2Se
1.0
2.9630 0.0000 0.0000
0.0000 5.2158 0.0000
0.0000 0.0000 4.6280
Ir Se Tl
2 1 1
direct
0.0000 0.0000 0.0000 Ir
0.5000 0.5000 0.0000 Ir
0.5000 0.0000 0.5000 Se
0.0000 0.5000 0.5000 Tl
```

Question: Which of these has the lowest Fermi-level density of states?
Answer: number 8